BeTlCd2 | GGA-PBE | optimized geometry

Calculated values
Symmetry ... F-43m
Formation energy ... 0.50 eV per atom

abc: 7.047 7.047 7.047
angles: 90.00 90.00 90.00
Element x y z (fractional)
Be (0.000, 0.000, 0.000)
Be (0.000, 0.500, 0.500)
Be (0.500, 0.000, 0.500)
Be (0.500, 0.500, 0.000)
Tl (0.250, 0.250, 0.750)
Tl (0.250, 0.750, 0.250)
Tl (0.750, 0.250, 0.250)
Tl (0.750, 0.750, 0.750)
Cd (0.000, 0.000, 0.500)
Cd (0.000, 0.500, 0.000)
Cd (0.250, 0.250, 0.250)
Cd (0.250, 0.750, 0.750)
Cd (0.500, 0.000, 0.000)
Cd (0.500, 0.500, 0.500)
Cd (0.750, 0.250, 0.750)
Cd (0.750, 0.750, 0.250)

EuScCd2 | GGA-PBE | optimized geometry

Calculated values
Symmetry ... Fm-3m
Formation energy ... -0.24 eV per atom

abc: 7.467 7.467 7.467
angles: 90.00 90.00 90.00
Element x y z (fractional)
Eu (0.000, 0.000, 0.000)
Eu (0.000, 0.500, 0.500)
Eu (0.500, 0.000, 0.500)
Eu (0.500, 0.500, 0.000)
Sc (0.000, 0.000, 0.500)
Sc (0.000, 0.500, 0.000)
Sc (0.500, 0.000, 0.000)
Sc (0.500, 0.500, 0.500)
Cd (0.250, 0.250, 0.250)
Cd (0.250, 0.250, 0.750)
Cd (0.250, 0.750, 0.250)
Cd (0.250, 0.750, 0.750)
Cd (0.750, 0.250, 0.250)
Cd (0.750, 0.250, 0.750)
Cd (0.750, 0.750, 0.250)
Cd (0.750, 0.750, 0.750)

KTaS3 | GGA-PBE | optimized geometry

Calculated values
Symmetry ... P2_1/m
Energy relative to the elements, uncorrected ... -1122 meV per atom

abc: 6.929 6.520 6.951
angles: 90.00 110.07 90.00
Element x y z (fractional)
K (0.204, 0.250, 0.309)
K (0.796, 0.750, 0.691)
Ta (0.423, 0.750, 0.038)
Ta (0.577, 0.250, 0.962)
S (0.154, 0.750, 0.142)
S (0.348, 0.505, 0.755)
S (0.348, 0.995, 0.755)
S (0.652, 0.005, 0.245)
S (0.652, 0.495, 0.245)
S (0.846, 0.250, 0.858)

| no. | offset from the most stable computed form (kJ/mol of formula units) |
| --- | --- |
| 1 | 80.9 |
| 2 | 20.6 |
| 3 | 0.0 |